{"formula": "Dy3Mg2In", "functional": "GGA-PBE", "state": "optimized geometry", "cell": [[-2.534, -1.183, 2.559], [0.261, -3.525, -1.370], [8.333, -2.197, 7.237]], "species": ["Dy", "Dy", "Dy", "Mg", "Mg", "In"], "fractional_positions": [[0.000, 0.000, 0.000], [0.000, 0.000, 0.667], [0.000, 0.000, 0.333], [0.500, 0.500, 0.835], [0.500, 0.500, 0.165], [0.500, 0.500, 0.500]], "mass_density_g_cm3": 6.7, "relative_energy_ev_per_atom": 0.015, "magmom_total_mub_per_cell": 0.0, "ef_ev_per_atom": -0.220}

{"formula": "In12Ga3Ag5", "functional": "GGA-PBE", "state": "optimized geometry", "cell": [[-11.239, 8.520, -2.168], [-2.092, -12.428, -6.691], [1.570, -2.335, 13.989]], "species": ["Ga", "Ga", "Ga", "Ga", "Ga", "Ga", "Ga", "Ga", "Ga", "Ga", "Ga", "Ga", "Ag", "Ag", "Ag", "Ag", "Ag", "Ag", "Ag", "Ag", "Ag", "Ag", "Ag", "Ag", "Ag", "Ag", "Ag", "Ag", "Ag", "Ag", "Ag", "Ag", "In", "In", "In", "In", "In", "In", "In", "In", "In", "In", "In", "In", "In", "In", "In", "In", "In", "In", "In", "In", "In", "In", "In", "In", "In", "In", "In", "In", "In", "In", "In", "In", "In", "In", "In", "In", "In", "In", "In", "In", "In", "In", "In", "In", "In", "In", "In", "In"], "fractional_positions": [[0.750, 0.375, 0.125], [0.875, 0.750, 0.125], [0.375, 0.750, 0.625], [0.250, 0.125, 0.375], [0.875, 0.125, 0.250], [0.375, 0.625, 0.250], [0.625, 0.375, 0.750], [0.125, 0.875, 0.750], [0.750, 0.875, 0.625], [0.625, 0.250, 0.375], [0.125, 0.250, 0.875], [0.250, 0.625, 0.875], [0.125, 0.375, 0.250], [0.000, 0.500, 0.000], [0.000, 0.000, 0.000], [0.375, 0.250, 0.125], [0.500, 0.000, 0.500], [0.500, 0.500, 0.000], [0.125, 0.750, 0.375], [0.750, 0.125, 0.875], [0.750, 0.625, 0.375], [0.375, 0.125, 0.750], [0.625, 0.875, 0.250], [0.500, 0.500, 0.500], [0.500, 0.000, 0.000], [0.000, 0.000, 0.500], [0.250, 0.375, 0.625], [0.250, 0.875, 0.125], [0.000, 0.500, 0.500], [0.875, 0.250, 0.625], [0.625, 0.750, 0.875], [0.875, 0.625, 0.750], [0.730, 0.128, 0.060], [0.330, 0.560, 0.432], [0.940, 0.372, 0.270], [0.560, 0.230, 0.128], [0.603, 0.730, 0.670], [0.940, 0.568, 0.170], [0.330, 0.770, 0.397], [0.068, 0.897, 0.128], [0.568, 0.940, 0.670], [0.730, 0.603, 0.170], [0.770, 0.440, 0.372], [0.830, 0.932, 0.060], [0.128, 0.730, 0.560], [0.372, 0.432, 0.103], [0.103, 0.932, 0.372], [0.397, 0.128, 0.568], [0.103, 0.170, 0.230], [0.440, 0.670, 0.068], [0.830, 0.897, 0.270], [0.128, 0.397, 0.068], [0.372, 0.940, 0.770], [0.568, 0.628, 0.397], [0.932, 0.830, 0.560], [0.770, 0.330, 0.897], [0.432, 0.372, 0.603], [0.068, 0.170, 0.440], [0.230, 0.670, 0.103], [0.170, 0.103, 0.730], [0.628, 0.060, 0.230], [0.872, 0.603, 0.932], [0.560, 0.330, 0.932], [0.603, 0.872, 0.432], [0.897, 0.830, 0.770], [0.897, 0.068, 0.628], [0.872, 0.270, 0.440], [0.170, 0.068, 0.940], [0.628, 0.568, 0.897], [0.432, 0.060, 0.330], [0.270, 0.397, 0.830], [0.230, 0.560, 0.628], [0.932, 0.103, 0.872], [0.670, 0.230, 0.603], [0.440, 0.770, 0.872], [0.060, 0.432, 0.830], [0.397, 0.270, 0.330], [0.060, 0.628, 0.730], [0.670, 0.440, 0.568], [0.270, 0.872, 0.940]], "mass_density_g_cm3": 6.3, "magmom_total_mub_per_cell": 0.0, "ef_ev_per_atom": 0.172}

{"formula": "CaHo4Pd4", "functional": "GGA-PBE", "state": "optimized geometry", "cell": [[5.664, 0.000, 0.000], [0.000, 9.138, 0.000], [0.000, 0.000, 9.138]], "species": ["Ca", "Ca", "Ho", "Ho", "Ho", "Ho", "Ho", "Ho", "Ho", "Ho", "Pd", "Pd", "Pd", "Pd", "Pd", "Pd", "Pd", "Pd"], "fractional_positions": [[0.000, 0.000, 0.000], [0.500, 0.500, 0.500], [0.413, 0.331, 0.902], [0.913, 0.598, 0.831], [0.413, 0.669, 0.098], [0.087, 0.169, 0.598], [0.587, 0.902, 0.669], [0.087, 0.831, 0.402], [0.913, 0.402, 0.169], [0.587, 0.098, 0.331], [0.587, 0.792, 0.369], [0.587, 0.208, 0.631], [0.087, 0.869, 0.708], [0.913, 0.292, 0.869], [0.913, 0.708, 0.131], [0.413, 0.369, 0.208], [0.413, 0.631, 0.792], [0.087, 0.131, 0.292]], "mass_density_g_cm3": 7.9, "magmom_total_mub_per_cell": 0.0, "ef_ev_per_atom": -0.680}

{"formula": "SmEr15In4", "functional": "GGA-PBE", "state": "optimized geometry", "cell": [[-1.578, -2.269, 3.952], [4.060, -2.600, 0.129], [10.527, 17.135, 14.042]], "species": ["Sm", "Er", "Er", "Er", "Er", "Er", "Er", "Er", "Er", "Er", "Er", "Er", "Er", "Er", "Er", "Er", "In", "In", "In", "In"], "fractional_positions": [[0.000, 0.000, 0.000], [0.500, 0.500, 0.000], [0.500, 0.500, 0.206], [0.500, 0.500, 0.402], [0.500, 0.500, 0.598], [0.500, 0.500, 0.794], [0.500, 0.000, 0.106], [0.500, 0.000, 0.304], [0.500, 0.000, 0.500], [0.500, 0.000, 0.696], [0.500, 0.000, 0.894], [0.000, 0.500, 0.106], [0.000, 0.500, 0.304], [0.000, 0.500, 0.500], [0.000, 0.500, 0.696], [0.000, 0.500, 0.894], [0.000, 0.000, 0.206], [0.000, 0.000, 0.402], [0.000, 0.000, 0.598], [0.000, 0.000, 0.794]], "mass_density_g_cm3": 9.1, "magmom_total_mub_per_cell": 0.0, "ef_ev_per_atom": -0.197}

{"formula": "Sn2PtRh", "functional": "GGA-PBE", "state": "optimized geometry", "cell": [[0.000, 3.315, 3.315], [3.315, 0.000, 3.315], [3.315, 3.315, 0.000]], "species": ["Rh", "Sn", "Sn", "Pt"], "fractional_positions": [[0.000, 0.000, 0.000], [0.250, 0.250, 0.250], [0.750, 0.750, 0.750], [0.500, 0.500, 0.500]], "mass_density_g_cm3": 12.2, "relative_energy_ev_per_atom": 0.082, "magmom_total_mub_per_cell": 0.0, "ef_ev_per_atom": -0.272}

{"formula": "AsPRuS2", "functional": "GGA-PBE", "state": "optimized geometry", "cell": [[4.641, 0.000, 0.000], [0.000, 4.641, 0.000], [0.000, 0.000, 4.509]], "species": ["Ru", "As", "S", "S", "P"], "fractional_positions": [[0.000, 0.000, 0.000], [0.500, 0.500, 0.500], [0.000, 0.500, 0.000], [0.500, 0.000, 0.000], [0.000, 0.000, 0.500]], "mass_density_g_cm3": 4.6, "relative_energy_ev_per_atom": 0.000, "magmom_total_mub_per_cell": 0.0, "formation_energy_uncorrected_ev_per_atom": 0.66}